Computed, not measured: a relaxed structure of HfNi4Pb at the PBE level of DFT.

Output
Space group: F-43m
Fermi-level density of states in states/eV/f.u.: 4.21
E_form in eV/f.u.: -1.3

abc: 4.939 4.939 4.939
angles: 60.00 60.00 60.00
Fractional coordinates of all 6 atoms:
Hf 0.000 0.000 0.000
Ni 0.122 0.626 0.626
Ni 0.626 0.122 0.626
Ni 0.626 0.626 0.122
Ni 0.626 0.626 0.626
Pb 0.250 0.250 0.250